ErTlCuTe3, optimized geometry, DFT PBE-GGA; final energy = -24.14 eV/f.u.; space group = Cmcm, No. 63
1.0
2.0765 -7.7499 0.0000
2.0765 7.7499 0.0000
0.0000 0.0000 11.2548
Er Tl Cu Te
2 2 2 6
direct
0.0000 0.0000 0.0000
0.0000 0.0000 0.5000
0.2480 0.7520 0.7500
0.7520 0.2480 0.2500
0.4665 0.5335 0.2500
0.5335 0.4665 0.7500
0.0728 0.9272 0.2500
0.3647 0.6353 0.0627
0.3647 0.6353 0.4373
0.6353 0.3647 0.5627
0.6353 0.3647 0.9373
0.9272 0.0728 0.7500

=====

Er5Tm2Cu2Te2, optimized geometry, DFT PBE-GGA; final energy = -51.74 eV/f.u.; space group = Imm2, No. 44
1.0
-1.9674 7.6539 4.7512
1.9674 -7.6539 4.7512
1.9674 7.6539 -4.7512
Er Tm Cu Te
5 2 2 2
direct
0.0000 0.0000 0.0000
0.2848 0.4150 0.8698
0.3055 0.6198 0.6857
0.5452 0.4150 0.1302
0.9340 0.6198 0.3143
0.6199 0.2632 0.3567
0.9066 0.2632 0.6433
0.1596 0.9236 0.2360
0.6876 0.9236 0.7640
0.2638 0.7638 0.5000
0.6615 0.6615 0.0000

=====

Er3Tm4Cu2Te2, optimized geometry, DFT PBE-GGA; final energy = -51.53 eV/f.u.; space group = Imm2, No. 44
1.0
-1.9567 7.6656 4.7431
1.9567 -7.6656 4.7431
1.9567 7.6656 -4.7431
Er Tm Cu Te
3 4 2 2
direct
0.0000 0.0000 0.0000
0.0646 0.3793 0.6853
0.6940 0.3793 0.3147
0.0923 0.7361 0.3562
0.3799 0.7361 0.6438
0.4540 0.5844 0.8696
0.7149 0.5844 0.1304
0.3116 0.0747 0.2369
0.8378 0.0747 0.7631
0.3387 0.3387 0.0000
0.7347 0.2347 0.5000

=====

ErTm6Cu2Te2, optimized geometry, DFT PBE-GGA; final energy = -51.38 eV/f.u.; space group = Imm2, No. 44
1.0
-1.9582 7.6423 4.7428
1.9582 -7.6423 4.7428
1.9582 7.6423 -4.7428
Er Tm Cu Te
1 6 2 2
direct
0.0000 0.0000 0.0000
0.0642 0.3791 0.6851
0.0914 0.7357 0.3558
0.3799 0.7357 0.6442
0.4535 0.5840 0.8695
0.6940 0.3791 0.3149
0.7145 0.5840 0.1305
0.3103 0.0735 0.2368
0.8366 0.0735 0.7632
0.3384 0.3384 0.0000
0.7349 0.2349 0.5000

=====

Y3Er2Tm2Cu2Te2, optimized geometry, DFT PBE-GGA; final energy = -57.69 eV/f.u.; space group = Imm2, No. 44
1.0
-1.9822 7.7049 4.7573
1.9822 -7.7049 4.7573
1.9822 7.7049 -4.7573
Y Er Tm Cu Te
3 2 2 2 2
direct
0.0000 0.0000 0.0000
0.6150 0.2591 0.3559
0.9032 0.2591 0.6441
0.2823 0.4124 0.8699
0.5425 0.4124 0.1301
0.3035 0.6181 0.6854
0.9328 0.6181 0.3146
0.1659 0.9274 0.2385
0.6889 0.9274 0.7615
0.2631 0.7631 0.5000
0.6594 0.6594 0.0000

=====

YEr4Tm2Cu2Te2, optimized geometry, DFT PBE-GGA; final energy = -53.79 eV/f.u.; space group = Imm2, No. 44
1.0
-1.9695 7.6854 4.7533
1.9695 -7.6854 4.7533
1.9695 7.6854 -4.7533
Y Er Tm Cu Te
1 4 2 2 2
direct
0.0000 0.0000 0.0000
0.2847 0.4146 0.8701
0.5445 0.4146 0.1299
0.6171 0.2617 0.3554
0.9063 0.2617 0.6446
0.3052 0.6195 0.6857
0.9338 0.6195 0.3143
0.1627 0.9257 0.2370
0.6887 0.9257 0.7630
0.2639 0.7639 0.5000
0.6617 0.6617 0.0000

=====

Y2ErTm3CuTe2, optimized geometry, DFT PBE-GGA; final energy = -46.75 eV/f.u.; space group = Amm2, No. 38
1.0
3.9385 0.0000 0.0000
0.0000 7.2311 4.1643
0.0000 -7.2311 4.1643
Y Er Tm Cu Te
2 1 3 1 2
direct
0.0000 0.2011 0.7989
0.0000 0.7989 0.2011
0.0000 0.3972 0.3972
0.5000 0.0403 0.0403
0.5000 0.5578 0.7981
0.5000 0.7981 0.5578
0.0000 0.7983 0.7983
0.5000 0.1326 0.4655
0.5000 0.4655 0.1326

=====

ErTlCu, optimized geometry, DFT PBE-GGA; final energy = -11.34 eV/f.u.; space group = Pnma, No. 62
1.0
7.1165 0.0000 0.0000
0.0000 4.6437 0.0000
0.0000 0.0000 7.8615
Er Tl Cu
4 4 4
direct
0.0079 0.2500 0.2197
0.4921 0.7500 0.7197
0.5079 0.2500 0.2803
0.9921 0.7500 0.7803
0.2104 0.2500 0.5900
0.2896 0.7500 0.0900
0.7104 0.2500 0.9100
0.7896 0.7500 0.4100
0.2067 0.7500 0.4227
0.2933 0.2500 0.9227
0.7067 0.7500 0.0773
0.7933 0.2500 0.5773

=====

ErTlCu, optimized geometry, DFT PBE-GGA; final energy = -9.70 eV/f.u.; space group = F-43m, No. 216
1.0
6.8117 0.0000 0.0000
0.0000 6.8117 0.0000
0.0000 0.0000 6.8117
Er Tl Cu
4 4 4
direct
0.0000 0.0000 0.0000
0.0000 0.5000 0.5000
0.5000 0.0000 0.5000
0.5000 0.5000 0.0000
0.2500 0.2500 0.2500
0.2500 0.7500 0.7500
0.7500 0.2500 0.7500
0.7500 0.7500 0.2500
0.2500 0.2500 0.7500
0.2500 0.7500 0.2500
0.7500 0.2500 0.2500
0.7500 0.7500 0.7500

=====

ErTlCu, optimized geometry, DFT PBE-GGA; final energy = -11.19 eV/f.u.; space group = F-43m, No. 216
1.0
6.5221 0.0000 0.0000
0.0000 6.5221 0.0000
0.0000 0.0000 6.5221
Er Tl Cu
4 4 4
direct
0.0000 0.0000 0.0000
0.0000 0.5000 0.5000
0.5000 0.0000 0.5000
0.5000 0.5000 0.0000
0.0000 0.0000 0.5000
0.0000 0.5000 0.0000
0.5000 0.0000 0.0000
0.5000 0.5000 0.5000
0.2500 0.2500 0.2500
0.2500 0.7500 0.7500
0.7500 0.2500 0.7500
0.7500 0.7500 0.2500

=====

ErTmCu4, optimized geometry, DFT PBE-GGA; final energy = -25.19 eV/f.u.; space group = P4/mmm, No. 123
1.0
3.4310 0.0000 0.0000
0.0000 3.4310 0.0000
0.0000 0.0000 8.7079
Er Tm Cu
1 1 4
direct
0.0000 0.0000 0.0000
0.5000 0.5000 0.5000
0.0000 0.0000 0.3232
0.0000 0.0000 0.6768
0.5000 0.5000 0.1798
0.5000 0.5000 0.8202

=====

ErTm4Cu5, optimized geometry, DFT PBE-GGA; final energy = -43.92 eV/f.u.; space group = P4/mmm, No. 123
1.0
3.4094 0.0000 0.0000
0.0000 3.4094 0.0000
0.0000 0.0000 17.0702
Er Tm Cu
1 4 5
direct
0.0000 0.0000 0.0000
0.0000 0.0000 0.2006
0.0000 0.0000 0.4002
0.0000 0.0000 0.5998
0.0000 0.0000 0.7994
0.5000 0.5000 0.1012
0.5000 0.5000 0.3004
0.5000 0.5000 0.5000
0.5000 0.5000 0.6996
0.5000 0.5000 0.8988